Record 1
Density functional theory data (PBE) for crystalline Mg2ReHg at its relaxed geometry.

Lattice parameters (Å, degrees): 2.8755 2.8755 9.1098 90.00 90.00 90.00
With the nearest neighbours (Å) after each atom.
Space group P4mm (No. 99)
One atom of each set of equivalent atoms:
Mg (0.0000, 0.0000, 0.0000) (multiplicity 1)  4 Mg 2.88, 4 Hg 3.04
Mg (0.5000, 0.5000, 0.2811) (multiplicity 1)  4 Re 2.87, 4 Mg 2.88
Re (0.0000, 0.0000, 0.5030) (multiplicity 1)  4 Mg 2.87, 4 Re 2.88, 4 Hg 3.04
Hg (0.5000, 0.5000, 0.7516) (multiplicity 1)  4 Hg 2.88, 4 Mg 3.04, 4 Re 3.04

The energy of formation is 439 meV/atom.


Record 2
Density functional theory data (PBE) for crystalline Mg2ReHg at its relaxed geometry.

Lattice parameters (Å, degrees): 3.0186 4.8344 10.0748 90.00 90.00 90.00
With the nearest neighbours (Å) after each atom.
Space group Imm2 (No. 44)
One atom of each set of equivalent atoms:
Mg (0.0000, 0.0000, 0.0000) (multiplicity 2)  2 Re 2.80, 4 Hg 2.86, 2 Mg 3.02
Mg (0.0000, 0.5000, 0.2238) (multiplicity 2)  4 Re 2.85, 2 Hg 2.93, 4 Mg 3.02-3.17
Re (0.0000, 0.5000, 0.7346) (multiplicity 2)  6 Mg 2.80-2.85, 2 Hg 2.85, 2 Re 3.02
Hg (0.0000, 0.0000, 0.4741) (multiplicity 2)  2 Re 2.85, 6 Mg 2.86-2.93, 2 Hg 3.02

The energy of formation is 388 meV/atom.


Record 3
Density functional theory data (PBE) for crystalline Mg2ReHg at its relaxed geometry.

Lattice parameters (Å, degrees): 3.9808 3.9808 8.9923 90.00 90.00 90.00
With the nearest neighbours (Å) after each atom.
Space group I-4m2 (No. 119)
One atom of each set of equivalent atoms:
Mg (0.0000, 0.0000, 0.0000) (multiplicity 2)  4 Hg 2.81, 4 Re 3.00, 4 Mg 3.00
Mg (0.0000, 0.5000, 0.2500) (multiplicity 2)  4 Re 2.81, 4 Hg 3.00, 4 Mg 3.00
Re (0.0000, 0.5000, 0.7500) (multiplicity 2)  8 Mg 2.81-3.00, 4 Hg 3.00
Hg (0.0000, 0.0000, 0.5000) (multiplicity 2)  8 Mg 2.81-3.00, 4 Re 3.00

The energy of formation is 428 meV/atom.


Record 4
Density functional theory data (PBE) for crystalline Mg2ReHg at its relaxed geometry.

Lattice parameters (Å, degrees): 7.4389 7.4389 5.6868 90.00 90.00 90.00
With the nearest neighbours (Å) after each atom.
Space group I-42d (No. 122)
One atom of each set of equivalent atoms:
Mg (0.2492, 0.2500, 0.1250) (multiplicity 8)  2 Hg 2.72, 2 Re 2.73, 2 Mg 2.84
Re (0.0000, 0.0000, 0.5000) (multiplicity 4)  4 Mg 2.73, 2 Hg 2.84
Hg (0.0000, 0.0000, 0.0000) (multiplicity 4)  4 Mg 2.72, 2 Re 2.84

The energy of formation is 756 meV/atom.


Record 5
Density functional theory data (PBE) for crystalline Mg2ReHg at its relaxed geometry.

Lattice parameters (Å, degrees): 3.3913 4.6254 9.5086 90.00 90.00 90.00
With the nearest neighbours (Å) after each atom.
Space group Cmm2 (No. 35)
One atom of each set of equivalent atoms:
Mg (0.0000, 0.0000, 0.0000) (multiplicity 2)  6 Mg 2.87-3.08, 2 Hg 2.92
Mg (0.0000, 0.5000, 0.2703) (multiplicity 2)  2 Re 2.74, 4 Mg 2.87
Re (0.0000, 0.0000, 0.4969) (multiplicity 2)  2 Mg 2.74, 4 Re 2.87, 2 Hg 2.95
Hg (0.0000, 0.5000, 0.7503) (multiplicity 2)  4 Hg 2.87, 2 Mg 2.92, 2 Re 2.95

The energy of formation is 423 meV/atom.


Record 6
Density functional theory data (PBE) for crystalline Mg3ReHg at its relaxed geometry.

Lattice parameters (Å, degrees): 5.0642 5.0642 5.0642 90.00 90.00 90.00
With the nearest neighbours (Å) after each atom.
Space group Pm-3m (No. 221)
One atom of each set of equivalent atoms:
Mg (0.0000, 0.0000, 0.5000) (multiplicity 3)  2 Hg 2.53
Re (0.5000, 0.5000, 0.5000) (multiplicity 1)  12 Mg 3.58
Hg (0.0000, 0.0000, 0.0000) (multiplicity 1)  6 Mg 2.53

The energy of formation is 1210 meV/atom. For the excess energy over the best structure of this formula in the dataset, the calculation gives 280 meV per atom.